1.
Density functional theory data (GGA-PBE) for a geometry-optimized Pr2BrN2 structure.

abc: 7.7132 7.7132 6.6817
angles: 100.89 100.89 31.81
Fractional coordinates of all 10 atoms:
1 Pr 0.0152 0.6615 0.8549
2 Pr 0.3385 0.9848 0.6451
3 Pr 0.6615 0.0152 0.3549
4 Pr 0.9848 0.3385 0.1451
5 Br 0.2688 0.7312 0.2500
6 Br 0.7312 0.2688 0.7500
7 N 0.1407 0.4253 0.4769
8 N 0.4253 0.1407 0.9769
9 N 0.5747 0.8593 0.0231
10 N 0.8593 0.5747 0.5231

Summary:
As for the density of states at the Fermi level: 2.30 states/eV/f.u. For the calculated volume, the calculation gives 20.54 Å³/atom. The value obtained for the total energy is -6.691 eV per atom. The calculation puts the uncorrected formation energy at -107.5 kJ/mol of atoms.

2.
Density functional theory data (GGA-PBE) for a geometry-optimized DyICl2 structure.

abc: 7.9528 7.9528 8.6949
angles: 90.00 90.00 151.37
Fractional coordinates of all 8 atoms:
1 Dy 0.2395 0.7605 0.7500
2 Dy 0.7605 0.2395 0.2500
3 I 0.4112 0.5888 0.2500
4 I 0.5888 0.4112 0.7500
5 Cl 0.1779 0.8221 0.0740
6 Cl 0.1779 0.8221 0.4260
7 Cl 0.8221 0.1779 0.5740
8 Cl 0.8221 0.1779 0.9260

Summary:
As for the density of states at the Fermi level: 0.00 states/eV/f.u. For the calculated volume, the calculation gives 32.94 Å³/atom. The value obtained for the total energy is -4.385 eV per atom. The calculation puts the uncorrected formation energy at -185.6 kJ/mol of atoms. The value obtained for the excess energy over the best structure of this formula in the dataset is 38.4 meV per atom.

3.
Density functional theory data (GGA-PBE) for a geometry-optimized Fe2NiRu structure.

abc: 2.5587 2.5587 8.1124
angles: 90.00 90.00 109.79
Fractional coordinates of all 4 atoms:
1 Fe 0.0000 0.0000 0.2386
2 Fe 0.0000 0.0000 0.7614
3 Ni 0.5000 0.5000 0.0000
4 Ru 0.5000 0.5000 0.5000

Summary:
As for the density of states at the Fermi level: 4.28 states/eV/f.u. For the calculated volume, the calculation gives 12.49 Å³/atom. The value obtained for the energy of formation from the pure elements is 163.0 meV/atom. The value obtained for the total energy is -7.833 eV per atom.

4.
Density functional theory data (GGA-PBE) for a geometry-optimized Cs2Ce3Br8 structure.

abc: 10.1369 10.1369 7.1187
angles: 101.53 101.53 49.51
Fractional coordinates of all 13 atoms:
1 Cs 0.2403 0.2403 0.1763
2 Cs 0.7597 0.7597 0.8237
3 Ce 0.2773 0.7227 0.5000
4 Ce 0.5000 0.5000 0.0000
5 Ce 0.7227 0.2773 0.5000
6 Br 0.0933 0.0933 0.4185
7 Br 0.1548 0.6390 0.1068
8 Br 0.3610 0.8452 0.8932
9 Br 0.3857 0.3857 0.6126
10 Br 0.6143 0.6143 0.3874
11 Br 0.6390 0.1548 0.1068
12 Br 0.8452 0.3610 0.8932
13 Br 0.9067 0.9067 0.5815

Summary:
As for the density of states at the Fermi level: 16.56 states/eV/f.u. For the calculated volume, the calculation gives 41.75 Å³/atom. The value obtained for the total energy is -4.197 eV per atom. The calculation puts the uncorrected formation energy at -160.8 kJ/mol of atoms.

5.
Density functional theory data (GGA-PBE) for a geometry-optimized Ce3Al structure.

abc: 6.6784 6.6784 5.3009
angles: 90.00 90.00 120.00
Fractional coordinates of all 8 atoms:
1 Ce 0.1861 0.3721 0.2500
2 Ce 0.1861 0.8139 0.2500
3 Ce 0.3721 0.1861 0.7500
4 Ce 0.6279 0.8139 0.2500
5 Ce 0.8139 0.1861 0.7500
6 Ce 0.8139 0.6279 0.7500
7 Al 0.3333 0.6667 0.7500
8 Al 0.6667 0.3333 0.2500

Summary:
As for the density of states at the Fermi level: 12.07 states/eV/f.u. For the calculated volume, the calculation gives 25.59 Å³/atom. The value obtained for the energy of formation from the pure elements is -159.2 meV/atom. The value obtained for the total energy is -5.545 eV per atom. The value obtained for the excess energy over the best structure of this formula in the dataset is 3.0 meV per atom.

6.
Density functional theory data (GGA-PBE) for a geometry-optimized SnGeSb2I structure.

abc: 5.4359 5.4359 5.5956
angles: 90.00 90.00 90.00
Fractional coordinates of all 5 atoms:
1 Sn 0.0000 0.0000 0.0000
2 Ge 0.5000 0.5000 0.5000
3 Sb 0.0000 0.5000 0.5000
4 Sb 0.5000 0.0000 0.5000
5 I 0.5000 0.5000 0.0000

Summary:
As for the density of states at the Fermi level: 4.45 states/eV/f.u. For the calculated volume, the calculation gives 33.07 Å³/atom. The value obtained for the total energy is -3.182 eV per atom. The calculation puts the uncorrected formation energy at 48.4 kJ/mol of atoms. The value obtained for the excess energy over the best structure of this formula in the dataset is 0.0 meV per atom.

Q: Which of these has the highest calculated volume?
A: Cs2Ce3Br8

Q: Which of these has the lowest calculated volume?
A: Fe2NiRu